Material: RbPtF2
Method: DFT, GGA-PBEsol
State: relaxed

As for the energy above the most stable polymorph in this dataset: 34.9 kJ per mole of atoms. The calculated volume comes out at 19.9 A^3/atom. The space group is No. 122.

abc: 4.7688 4.7688 7.7808
angles: 107.85 107.85 90.00
Last column: nearest neighbours and their distance in Å.
Fractional positions:
Pt (0.2500, 0.7500, 0.5000)  4 F 2.18
Rb (0.5000, 0.5000, 0.0000)  4 F 2.83
Pt (0.0000, 0.0000, 0.0000)  4 F 2.18
F (0.2331, 0.8750, 0.2500)  2 Pt 2.18
F (0.1250, 0.9831, 0.7500)  2 Pt 2.18
Rb (0.7500, 0.2500, 0.5000)  4 F 2.83
F (0.6250, 0.7669, 0.7500)  2 Pt 2.18
F (0.0169, 0.3750, 0.2500)  2 Pt 2.18

=====

Material: LuAl8Cu4
Method: DFT, GGA-PBEsol
State: relaxed

The calculated volume comes out at 14.7 A^3/atom. Its calculated formation energy is -3.9 eV/f.u. The space group is No. 139.

abc: 5.0567 6.6511 6.6511
angles: 81.69 67.66 67.66
Last column: nearest neighbours and their distance in Å.
Fractional positions:
Cu (0.0000, 0.5000, 0.0000)  2 Cu 2.53, 8 Al 2.53-2.65
Cu (0.0000, 0.0000, 0.5000)  2 Cu 2.53, 8 Al 2.53-2.65
Lu (0.0000, 0.0000, 0.0000)  12 Al 3.02-3.16, 8 Cu 3.33
Al (0.3466, 0.6534, 0.6534)  4 Cu 2.65, 5 Al 2.67-2.80
Cu (0.5000, 0.0000, 0.5000)  2 Cu 2.53, 8 Al 2.53-2.65
Al (0.0000, 0.3466, 0.6534)  4 Cu 2.65, 5 Al 2.67-2.80
Al (0.2830, 0.2170, 0.2170)  4 Cu 2.53, 6 Al 2.67-2.80
Al (0.5000, 0.2170, 0.7830)  4 Cu 2.53, 6 Al 2.67-2.80
Al (0.6534, 0.3466, 0.3466)  4 Cu 2.65, 5 Al 2.67-2.80
Al (0.7170, 0.7830, 0.7830)  4 Cu 2.53, 6 Al 2.67-2.80
Cu (0.5000, 0.5000, 0.0000)  2 Cu 2.53, 8 Al 2.53-2.65
Al (0.5000, 0.7830, 0.2170)  4 Cu 2.53, 6 Al 2.67-2.80
Al (0.0000, 0.6534, 0.3466)  4 Cu 2.65, 5 Al 2.67-2.80

=====

Question: Among the records above, which one has the lowest calculated volume?
Answer: LuAl8Cu4

=====

Question: Number 2 is which compound?
Answer: LuAl8Cu4

=====

Question: Which value of calculated volume does entry 2 give?
Answer: 14.7 A^3/atom